# 1
Cu2TcP GGA-PBE relaxed; total moment = 0.3 μB per formula unit; Fermi-level density of states = 2.08 states/eV/f.u.; electronic total energy = -5.763 eV/atom; DFT formation energy = 229 meV per atom
1.0
-3.4207 3.4207 2.3428
3.4207 -3.4207 2.3428
3.4207 3.4207 -2.3428
Cu Tc P
4 2 2
direct
0.0870 0.6250 0.9620
0.3750 0.3370 0.4620
0.6630 0.1250 0.0380
0.8750 0.9130 0.5380
0.2500 0.7500 0.5000
0.5000 0.5000 0.0000
0.0000 0.0000 0.0000
0.7500 0.2500 0.5000



# 2
CuTcP2 GGA-PBE relaxed; total moment = 0.0 μB per formula unit; Fermi-level density of states = 0.94 states/eV/f.u.; energy above the lowest structure with this stoichiometry = 48 meV per atom; electronic total energy = -6.449 eV/atom; DFT formation energy = -129 meV per atom
1.0
1.5036 0.8681 7.0643
-1.5036 0.8681 7.0643
0.0000 -1.7362 7.0643
Cu Tc P
1 1 2
direct
0.0000 0.0000 0.0000
0.5000 0.5000 0.5000
0.2476 0.2476 0.2476
0.7524 0.7524 0.7524



# 3
Cu2TcP GGA-PBE relaxed; total moment = 0.3 μB per formula unit; Fermi-level density of states = 5.61 states/eV/f.u.; electronic total energy = -5.688 eV/atom; DFT formation energy = 304 meV per atom
1.0
1.3705 0.7913 8.1420
-1.3705 0.7913 8.1420
0.0000 -1.5825 8.1420
Cu Tc P
2 1 1
direct
0.2447 0.2447 0.2447
0.7553 0.7553 0.7553
0.0000 0.0000 0.0000
0.5000 0.5000 0.5000